The following is a PBE calculation of an optimized crystal structure of CaY2ScMn, from Alexandria.

Values from the calculation:
Its energy of formation is 3.9 kcal/mol of atoms. For the total energy, the calculation gives -5.92 eV/atom. Its calculated volume is 28.85 Å³/atom. The calculation puts the density of states at the Fermi level at 4.5 states/eV per cell.

Lattice parameters (Å, degrees): 5.351 5.351 5.039 90.00 90.00 90.00
Positions (direct):
1 Ca 0.000 0.000 0.000
2 Y 0.000 0.500 0.500
3 Y 0.500 0.000 0.500
4 Sc 0.500 0.500 0.000
5 Mn 0.500 0.500 0.500

=====

The following is a PBE calculation of an optimized crystal structure of Ca2MnSe, from Alexandria.

Values from the calculation:
For the total energy, the calculation gives -4.09 eV/atom. Its calculated volume is 25.12 Å³/atom. The calculation puts the density of states at the Fermi level at 13.5 states/eV per cell.

Lattice parameters (Å, degrees): 7.380 7.380 7.380 90.00 90.00 90.00
Positions (direct):
1 Ca 0.000 0.000 0.000
2 Ca 0.000 0.500 0.500
3 Ca 0.250 0.250 0.250
4 Ca 0.250 0.750 0.750
5 Ca 0.500 0.000 0.500
6 Ca 0.500 0.500 0.000
7 Ca 0.750 0.250 0.750
8 Ca 0.750 0.750 0.250
9 Mn 0.000 0.000 0.500
10 Mn 0.000 0.500 0.000
11 Mn 0.500 0.000 0.000
12 Mn 0.500 0.500 0.500
13 Se 0.250 0.250 0.750
14 Se 0.250 0.750 0.250
15 Se 0.750 0.250 0.250
16 Se 0.750 0.750 0.750